Entry 1:
! ScAsO2 | Alexandria | PBE | optimized geometry; values from VASP
&SYSTEM
  ibrav = 0, nat = 4, ntyp = 3
/
ATOMIC_SPECIES
Sc 44.96 Sc.upf
As 74.92 As.upf
O 16.00 O.upf
CELL_PARAMETERS angstrom
1.574 0.909 6.363
-1.574 0.909 6.363
0.000 -1.817 6.363
ATOMIC_POSITIONS angstrom
Sc 0.000 0.000 0.000
As 0.000 0.000 9.544
O 0.000 0.000 7.428
O 0.000 0.000 11.660
! formation energy (no corrections)	-2252.7	meV/atom
! E	-29.9	eV for the cell shown
! SG	No. 166
! volume	54.58	Å³/f.u.

=====

Entry 2:
! Sc2As2O | Alexandria | PBE | optimized geometry; values from VASP
&SYSTEM
  ibrav = 0, nat = 10, ntyp = 3
/
ATOMIC_SPECIES
Sc 44.96 Sc.upf
As 74.92 As.upf
O 16.00 O.upf
CELL_PARAMETERS angstrom
6.214 0.000 0.000
0.000 6.214 0.000
0.000 0.000 4.389
ATOMIC_POSITIONS angstrom
Sc 1.154 1.953 0.000
Sc 1.953 5.060 0.000
Sc 4.261 1.154 0.000
Sc 5.060 4.261 0.000
As 0.850 3.957 2.194
As 2.257 0.850 2.194
As 3.957 5.364 2.194
As 5.364 2.257 2.194
O 0.000 0.000 0.000
O 3.107 3.107 0.000
! formation energy (no corrections)	-1425.2	meV/atom
! E	-68.1	eV for the cell shown
! SG	No. 127
! offset from the most stable computed form	0	meV/atom
! volume	84.73	Å³/f.u.

=====

Entry 3:
! Sc4As3O | Alexandria | PBE | optimized geometry; values from VASP
&SYSTEM
  ibrav = 0, nat = 16, ntyp = 3
/
ATOMIC_SPECIES
Sc 44.96 Sc.upf
As 74.92 As.upf
O 16.00 O.upf
CELL_PARAMETERS angstrom
8.604 0.000 0.000
0.000 7.671 0.000
0.000 0.000 5.398
ATOMIC_POSITIONS angstrom
Sc 0.000 0.851 0.000
Sc 0.000 6.295 2.994
Sc 1.908 5.265 0.007
Sc 2.394 2.407 2.705
Sc 4.302 1.376 0.295
Sc 4.302 6.820 2.699
Sc 6.210 2.407 2.705
Sc 6.696 5.265 0.007
As 0.000 1.163 2.691
As 2.048 2.585 5.395
As 2.254 5.087 2.696
As 4.302 6.508 5.390
As 6.350 5.087 2.696
As 6.556 2.585 5.395
O 0.000 6.291 5.151
O 4.302 1.380 2.452
! formation energy (no corrections)	-1501.0	meV/atom
! E	-112.5	eV for the cell shown
! SG	No. 31
! volume	178.13	Å³/f.u.

=====

Entry 4:
! Sc3AsO | Alexandria | PBE | optimized geometry; values from VASP
&SYSTEM
  ibrav = 0, nat = 10, ntyp = 3
/
ATOMIC_SPECIES
Sc 44.96 Sc.upf
As 74.92 As.upf
O 16.00 O.upf
CELL_PARAMETERS angstrom
4.259 0.000 0.000
0.000 7.075 3.209
0.000 -7.075 3.209
ATOMIC_POSITIONS angstrom
Sc 1.065 -6.063 3.209
Sc 1.065 -1.441 2.217
Sc 1.065 4.073 2.147
Sc 3.194 -4.073 2.147
Sc 3.194 1.441 2.217
Sc 3.194 6.063 3.209
As 1.065 2.046 3.921
As 3.194 -2.046 3.921
O 1.065 5.919 3.269
O 3.194 -5.919 3.269
! formation energy (no corrections)	-1576.5	meV/atom
! E	-73.0	eV for the cell shown
! SG	No. 40
! offset from the most stable computed form	0	meV/atom
! volume	96.70	Å³/f.u.

=====

Entry 5:
! Sc4As2O | Alexandria | PBE | optimized geometry; values from VASP
&SYSTEM
  ibrav = 0, nat = 14, ntyp = 3
/
ATOMIC_SPECIES
Sc 44.96 Sc.upf
As 74.92 As.upf
O 16.00 O.upf
CELL_PARAMETERS angstrom
6.647 0.000 0.000
0.000 10.462 0.000
0.000 0.000 3.715
ATOMIC_POSITIONS angstrom
Sc 0.753 1.989 0.000
Sc 1.433 9.853 1.858
Sc 1.891 4.622 1.858
Sc 2.570 7.220 0.000
Sc 4.077 3.242 0.000
Sc 4.756 5.839 1.858
Sc 5.215 0.608 1.858
Sc 5.894 8.473 0.000
As 0.587 7.066 1.858
As 2.737 1.836 1.858
As 3.910 8.626 1.858
As 6.061 3.395 1.858
O 0.000 0.000 0.000
O 3.324 5.231 0.000
! formation energy (no corrections)	-1558.0	meV/atom
! E	-101.0	eV for the cell shown
! SG	No. 55
! offset from the most stable computed form	17	meV/atom
! volume	129.17	Å³/f.u.

=====

Entry 6:
! Sc3AsO7 | Alexandria | PBE | optimized geometry; values from VASP
&SYSTEM
  ibrav = 0, nat = 22, ntyp = 3
/
ATOMIC_SPECIES
Sc 44.96 Sc.upf
As 74.92 As.upf
O 16.00 O.upf
CELL_PARAMETERS angstrom
3.534 -4.916 0.000
3.534 4.916 0.000
0.000 0.000 6.961
ATOMIC_POSITIONS angstrom
Sc 0.241 0.000 0.000
Sc 1.889 2.282 1.775
Sc 1.889 -2.282 5.186
Sc 5.178 2.282 1.706
Sc 5.178 -2.282 5.255
Sc 6.827 0.000 3.481
As 3.520 0.000 3.481
As 3.548 0.000 0.000
O 3.534 3.654 5.221
O 3.534 3.515 1.740
O 2.132 1.206 6.761
O 2.255 1.271 3.733
O 2.132 -1.206 0.200
O 3.534 0.656 1.740
O 2.255 -1.271 3.228
O 4.812 1.271 6.709
O 3.534 -0.656 5.221
O 4.935 1.206 3.681
O 4.812 -1.271 0.252
O 4.935 -1.206 3.280
O 3.534 -3.515 5.221
O 3.534 -3.654 1.740
! formation energy (no corrections)	-2810.3	meV/atom
! E	-178.5	eV for the cell shown
! SG	No. 20
! volume	120.93	Å³/f.u.

=====

Entry 7:
! Sc4AsO | Alexandria | PBE | optimized geometry; values from VASP
&SYSTEM
  ibrav = 0, nat = 12, ntyp = 3
/
ATOMIC_SPECIES
Sc 44.96 Sc.upf
As 74.92 As.upf
O 16.00 O.upf
CELL_PARAMETERS angstrom
7.550 -2.476 0.000
7.550 2.476 0.000
-3.463 0.000 7.292
ATOMIC_POSITIONS angstrom
Sc -0.673 0.000 2.678
Sc -0.711 0.000 6.998
Sc 1.669 0.000 4.886
Sc 4.608 0.000 2.419
Sc 7.030 0.000 4.873
Sc 9.969 0.000 2.406
Sc 12.349 0.000 0.293
Sc 12.311 0.000 4.613
As 1.859 0.000 2.158
As 9.778 0.000 5.134
O -0.580 0.000 4.844
O 12.218 0.000 2.448
! formation energy (no corrections)	-1120.9	meV/atom
! E	-83.3	eV for the cell shown
! SG	No. 12
! volume	136.31	Å³/f.u.

=====

Entry 8:
! ScAsO3 | Alexandria | PBE | optimized geometry; values from VASP
&SYSTEM
  ibrav = 0, nat = 5, ntyp = 3
/
ATOMIC_SPECIES
Sc 44.96 Sc.upf
As 74.92 As.upf
O 16.00 O.upf
CELL_PARAMETERS angstrom
3.889 0.000 0.000
0.000 3.889 0.000
0.000 0.000 3.889
ATOMIC_POSITIONS angstrom
Sc 0.000 0.000 0.000
As 1.945 1.945 1.945
O 0.000 1.945 1.945
O 1.945 0.000 1.945
O 1.945 1.945 0.000
! formation energy (no corrections)	-1328.8	meV/atom
! E	-32.5	eV for the cell shown
! SG	No. 221
! volume	58.84	Å³/f.u.

=====

Entry 9:
! Sc2AsO2 | Alexandria | PBE | optimized geometry; values from VASP
&SYSTEM
  ibrav = 0, nat = 5, ntyp = 3
/
ATOMIC_SPECIES
Sc 44.96 Sc.upf
As 74.92 As.upf
O 16.00 O.upf
CELL_PARAMETERS angstrom
-2.130 2.130 4.300
2.130 -2.130 4.300
2.130 2.130 -4.300
ATOMIC_POSITIONS angstrom
Sc 2.130 0.000 2.150
Sc 0.000 2.130 2.150
As 0.000 0.000 0.000
O 0.000 0.000 2.433
O 0.000 0.000 6.167
! formation energy (no corrections)	-2178.5	meV/atom
! E	-38.1	eV for the cell shown
! SG	No. 139
! offset from the most stable computed form	0	meV/atom
! volume	78.04	Å³/f.u.

=====

Entry 10:
! Sc4As2O | Alexandria | PBE | optimized geometry; values from VASP
&SYSTEM
  ibrav = 0, nat = 7, ntyp = 3
/
ATOMIC_SPECIES
Sc 44.96 Sc.upf
As 74.92 As.upf
O 16.00 O.upf
CELL_PARAMETERS angstrom
-2.062 2.062 7.384
2.062 -2.062 7.384
2.062 2.062 -7.384
ATOMIC_POSITIONS angstrom
Sc 2.062 0.000 0.000
Sc 0.000 0.000 2.590
Sc 0.000 2.062 0.000
Sc 0.000 0.000 12.179
As 0.000 0.000 5.345
As 0.000 0.000 9.423
O 0.000 0.000 0.000
! formation energy (no corrections)	-1574.8	meV/atom
! E	-50.6	eV for the cell shown
! SG	No. 139
! offset from the most stable computed form	0	meV/atom
! volume	125.53	Å³/f.u.

=====

Entry 11:
! ScAs3O | Alexandria | PBE | optimized geometry; values from VASP
&SYSTEM
  ibrav = 0, nat = 5, ntyp = 3
/
ATOMIC_SPECIES
Sc 44.96 Sc.upf
As 74.92 As.upf
O 16.00 O.upf
CELL_PARAMETERS angstrom
4.400 0.000 0.000
0.000 4.400 0.000
0.000 0.000 4.400
ATOMIC_POSITIONS angstrom
Sc 0.000 0.000 0.000
As 0.000 2.200 2.200
As 2.200 0.000 2.200
As 2.200 2.200 0.000
O 2.200 2.200 2.200
! formation energy (no corrections)	-353.0	meV/atom
! E	-27.0	eV for the cell shown
! SG	No. 221
! offset from the most stable computed form	0	meV/atom
! volume	85.19	Å³/f.u.

=====

Entry 12:
! ScAsO | Alexandria | PBE | optimized geometry; values from VASP
&SYSTEM
  ibrav = 0, nat = 6, ntyp = 3
/
ATOMIC_SPECIES
Sc 44.96 Sc.upf
As 74.92 As.upf
O 16.00 O.upf
CELL_PARAMETERS angstrom
6.262 -1.463 0.000
6.262 1.463 0.000
-2.683 0.000 5.511
ATOMIC_POSITIONS angstrom
Sc 0.000 0.000 0.000
Sc -1.341 0.000 2.756
As 0.979 0.000 4.523
As 8.863 0.000 0.988
O 4.149 0.000 4.037
O 5.693 0.000 1.474
! formation energy (no corrections)	-1940.5	meV/atom
! E	-43.5	eV for the cell shown
! SG	No. 12
! volume	50.49	Å³/f.u.

=====

Entry 13:
! ScAsO5 | Alexandria | PBE | optimized geometry; values from VASP
&SYSTEM
  ibrav = 0, nat = 14, ntyp = 3
/
ATOMIC_SPECIES
Sc 44.96 Sc.upf
As 74.92 As.upf
O 16.00 O.upf
CELL_PARAMETERS angstrom
5.373 0.000 0.000
-1.608 5.535 0.000
-0.323 -1.129 6.759
ATOMIC_POSITIONS angstrom
Sc 0.220 1.049 1.390
Sc 3.222 3.357 5.369
As 0.712 1.134 4.990
As 2.730 3.272 1.769
O 0.107 -0.178 5.961
O -0.295 2.509 5.237
O 0.593 0.667 3.350
O 1.136 2.877 1.337
O 2.233 0.171 1.745
O 1.208 4.235 5.014
O 2.305 1.529 5.422
O 2.849 3.739 3.409
O 3.736 1.897 1.522
O 3.334 4.584 0.798
! formation energy (no corrections)	-1549.4	meV/atom
! E	-93.2	eV for the cell shown
! SG	No. 2
! volume	100.49	Å³/f.u.

=====

Entry 14:
! ScAs2O6 | Alexandria | PBE | optimized geometry; values from VASP
&SYSTEM
  ibrav = 0, nat = 9, ntyp = 3
/
ATOMIC_SPECIES
Sc 44.96 Sc.upf
As 74.92 As.upf
O 16.00 O.upf
CELL_PARAMETERS angstrom
5.096 -1.635 0.000
5.096 1.635 0.000
-0.339 0.000 8.315
ATOMIC_POSITIONS angstrom
Sc 0.000 0.000 0.000
As 2.875 0.000 2.236
As 6.977 0.000 6.078
O 1.324 0.000 1.570
O 1.603 0.000 5.253
O 4.039 0.000 0.909
O 5.813 0.000 7.406
O 8.249 0.000 3.062
O 8.528 0.000 6.744
! formation energy (no corrections)	-1736.8	meV/atom
! E	-61.0	eV for the cell shown
! SG	No. 12
! volume	138.53	Å³/f.u.

=====

Entry 15:
! ScAs2O6 | Alexandria | PBE | optimized geometry; values from VASP
&SYSTEM
  ibrav = 0, nat = 9, ntyp = 3
/
ATOMIC_SPECIES
Sc 44.96 Sc.upf
As 74.92 As.upf
O 16.00 O.upf
CELL_PARAMETERS angstrom
2.657 1.534 4.941
-2.657 1.534 4.941
0.000 -3.068 4.941
ATOMIC_POSITIONS angstrom
Sc 0.000 0.000 0.000
As 0.000 0.000 3.133
As 0.000 0.000 6.104
O -1.491 0.154 4.085
O -0.447 -1.652 6.660
O 0.612 -1.368 4.085
O -1.207 1.214 6.660
O 0.878 1.214 4.085
O 1.655 0.439 6.660
! formation energy (no corrections)	-1600.5	meV/atom
! E	-59.8	eV for the cell shown
! SG	No. 146
! volume	120.82	Å³/f.u.

=====

Entry 16:
! Sc3AsO | Alexandria | PBE | optimized geometry; values from VASP
&SYSTEM
  ibrav = 0, nat = 5, ntyp = 3
/
ATOMIC_SPECIES
Sc 44.96 Sc.upf
As 74.92 As.upf
O 16.00 O.upf
CELL_PARAMETERS angstrom
4.343 0.000 0.000
0.000 4.343 0.000
0.000 0.000 4.343
ATOMIC_POSITIONS angstrom
Sc 0.000 0.000 2.171
Sc 0.000 2.171 0.000
Sc 2.171 0.000 0.000
As 2.171 2.171 2.171
O 0.000 0.000 0.000
! formation energy (no corrections)	-1496.0	meV/atom
! E	-36.1	eV for the cell shown
! SG	No. 221
! offset from the most stable computed form	81	meV/atom
! volume	81.90	Å³/f.u.

=====

Entry 17:
! ScAs3O | Alexandria | PBE | optimized geometry; values from VASP
&SYSTEM
  ibrav = 0, nat = 5, ntyp = 3
/
ATOMIC_SPECIES
Sc 44.96 Sc.upf
As 74.92 As.upf
O 16.00 O.upf
CELL_PARAMETERS angstrom
5.031 0.000 0.000
0.000 5.031 0.000
0.000 0.000 5.031
ATOMIC_POSITIONS angstrom
Sc 0.000 0.000 0.000
As 0.000 0.000 2.516
As 0.000 2.516 0.000
As 2.516 0.000 0.000
O 2.516 2.516 2.516
! formation energy (no corrections)	807.3	meV/atom
! E	-21.2	eV for the cell shown
! SG	No. 221
! offset from the most stable computed form	1160	meV/atom
! volume	127.36	Å³/f.u.

=====

Entry 18:
! Sc2AsO2 | Alexandria | PBE | optimized geometry; values from VASP
&SYSTEM
  ibrav = 0, nat = 10, ntyp = 3
/
ATOMIC_SPECIES
Sc 44.96 Sc.upf
As 74.92 As.upf
O 16.00 O.upf
CELL_PARAMETERS angstrom
6.817 0.000 0.000
0.000 6.817 0.000
0.000 0.000 2.802
ATOMIC_POSITIONS angstrom
Sc 1.040 2.369 0.000
Sc 2.369 5.777 0.000
Sc 4.448 1.040 0.000
Sc 5.777 4.448 0.000
As 0.000 0.000 1.401
As 3.408 3.408 1.401
O 0.827 4.235 1.401
O 2.582 0.827 1.401
O 4.235 5.990 1.401
O 5.990 2.582 1.401
! formation energy (no corrections)	-1787.0	meV/atom
! E	-72.3	eV for the cell shown
! SG	No. 127
! offset from the most stable computed form	391	meV/atom
! volume	65.11	Å³/f.u.

=====

Entry 19:
! Sc8As3Se4O | Alexandria | PBE | optimized geometry; values from VASP
&SYSTEM
  ibrav = 0, nat = 16, ntyp = 4
/
ATOMIC_SPECIES
Sc 44.96 Sc.upf
As 74.92 As.upf
Se 78.96 Se.upf
O 16.00 O.upf
CELL_PARAMETERS angstrom
3.789 2.187 6.287
-3.789 2.187 6.287
0.000 -4.375 6.287
ATOMIC_POSITIONS angstrom
Sc 0.000 0.000 4.636
Sc -1.761 -1.017 10.820
Sc 0.000 -2.034 8.042
Sc -1.761 1.017 8.042
Sc 1.761 -1.017 10.820
Sc 0.000 2.034 10.820
Sc 1.761 1.017 8.042
Sc 0.000 0.000 14.226
As -3.789 0.000 9.431
As -1.894 1.094 3.144
As 1.894 1.094 3.144
Se 0.000 0.000 0.000
Se -1.894 -1.094 6.287
Se -1.894 1.094 12.575
Se 0.000 2.187 6.287
O 0.000 0.000 9.431
! formation energy (no corrections)	-1624.8	meV/atom
! E	-109.5	eV for the cell shown
! SG	No. 166
! volume	312.62	Å³/f.u.

=====

Entry 20:
! Sc2AsSeO | Alexandria | PBE | optimized geometry; values from VASP
&SYSTEM
  ibrav = 0, nat = 5, ntyp = 4
/
ATOMIC_SPECIES
Sc 44.96 Sc.upf
As 74.92 As.upf
Se 78.96 Se.upf
O 16.00 O.upf
CELL_PARAMETERS angstrom
5.076 0.000 0.000
0.000 5.076 0.000
0.000 0.000 3.915
ATOMIC_POSITIONS angstrom
Sc 0.000 2.538 0.000
Sc 2.538 0.000 0.000
As 0.000 0.000 0.000
Se 2.538 2.538 1.958
O 0.000 0.000 1.958
! formation energy (no corrections)	-829.3	meV/atom
! E	-29.9	eV for the cell shown
! SG	No. 123
! volume	100.87	Å³/f.u.